No. 1
NpAl3Pt2: relaxed, PBE.

Cell: 16.462 4.191 10.047 Å, 90.00 108.60 90.00°
Space group C2/m (No. 12)
Unique sites:
Np 0.000 0.000 0.000 (multiplicity 2)
Np 0.159 0.000 0.706 (multiplicity 4)
Al 0.000 0.500 0.500 (multiplicity 2)
Al 0.040 0.000 0.358 (multiplicity 4)
Al 0.128 0.500 0.200 (multiplicity 4)
Al 0.176 0.500 0.965 (multiplicity 4)
Al 0.213 0.000 0.391 (multiplicity 4)
Pt 0.027 0.500 0.783 (multiplicity 4)
Pt 0.139 0.500 0.453 (multiplicity 4)
Pt 0.194 0.000 0.126 (multiplicity 4)

Calculated values
As for the volume: 18.25 Å³ per atom. Its final energy is -0.49808 Ry per atom. As for the crystal system: monoclinic. The density of states at the Fermi level comes out at 1.793 states/eV/atom.

No. 2
Np3AlPt12: relaxed, PBE.

Cell: 4.102 4.102 16.308 Å, 90.00 90.00 90.00°
Space group P4/mmm (No. 123)
Unique sites:
Np 0.000 0.000 0.000 (multiplicity 1)
Np 0.000 0.000 0.258 (multiplicity 2)
Al 0.000 0.000 0.500 (multiplicity 1)
Pt 0.000 0.500 0.131 (multiplicity 4)
Pt 0.000 0.500 0.384 (multiplicity 4)
Pt 0.500 0.500 0.000 (multiplicity 1)
Pt 0.500 0.500 0.258 (multiplicity 2)
Pt 0.500 0.500 0.500 (multiplicity 1)

Calculated values
As for the volume: 17.15 Å³ per atom. Its final energy is -0.56706 Ry per atom. As for the crystal system: tetragonal. The density of states at the Fermi level comes out at 2.183 states/eV/atom.

No. 3
Np2Al3Pt12Rh: relaxed, PBE.

Cell: 8.1989 8.1989 17.9042 Å, 90.00 90.00 120.00°
Space group R-3m (No. 166, hexagonal axes)
Unique sites:
Np 0.0000 0.0000 0.1135 (multiplicity 6)
Al 0.0000 0.5000 0.0000 (multiplicity 9)
Pt 0.0065 0.5033 0.3791 (multiplicity 18)
Pt 0.0244 0.5122 0.8635 (multiplicity 18)
Rh 0.0000 0.0000 0.5000 (multiplicity 3)

Calculated values
As for the volume: 19.30 Å³ per atom. Its final energy is -0.49975 Ry per atom. As for the crystal system: trigonal. The density of states at the Fermi level comes out at 1.034 states/eV/atom.

No. 4
Np2AlSi4Pt3: relaxed, PBE.

Cell: 4.136 4.136 10.241 Å, 90.00 90.00 90.00°
Space group P-4m2 (No. 115)
Unique sites:
Np 0.000 0.500 0.249 (multiplicity 2)
Al 0.000 0.000 0.500 (multiplicity 1)
Si 0.000 0.000 0.000 (multiplicity 1)
Si 0.000 0.500 0.644 (multiplicity 2)
Si 0.500 0.500 0.000 (multiplicity 1)
Pt 0.000 0.500 0.877 (multiplicity 2)
Pt 0.500 0.500 0.500 (multiplicity 1)

Calculated values
The calculation puts the uncorrected formation energy at -674.3 meV per atom. As for the volume: 17.52 Å³ per atom. Its final energy is -0.55992 Ry per atom. As for the crystal system: tetragonal. The density of states at the Fermi level comes out at 1.728 states/eV/atom.